No. 1
The following is a PBE calculation of a relaxed MgCd4Ag3 crystal, from the Alexandria database.

Cell: 3.051 4.432 12.768 Å, 79.10 83.01 89.83°
Sites, in units of the cell vectors:
Mg: 0.000 0.000 0.000
Ag: 0.344 0.843 0.313
Ag: 0.656 0.157 0.687
Ag: 0.500 0.500 0.000
Cd: 0.902 0.401 0.198
Cd: 0.098 0.599 0.802
Cd: 0.781 0.282 0.436
Cd: 0.219 0.718 0.564

The calculation puts the formation energy at -0.01 eV per atom. The relative energy among the computed polymorphs is 51 meV per atom.

---

No. 2
The following is a PBE calculation of a relaxed LaIn3Pt3 crystal, from the Alexandria database.

Cell: 4.470 9.149 9.152 Å, 119.98 90.00 90.00°
Sites, in units of the cell vectors:
La: 0.750 0.333 0.667
La: 0.250 0.667 0.333
In: 0.750 0.757 0.047
In: 0.750 0.290 0.243
In: 0.750 0.953 0.710
In: 0.250 0.243 0.953
In: 0.250 0.710 0.757
In: 0.250 0.047 0.290
Pt: 0.750 0.946 0.389
Pt: 0.750 0.442 0.054
Pt: 0.750 0.611 0.558
Pt: 0.250 0.054 0.611
Pt: 0.250 0.558 0.946
Pt: 0.250 0.389 0.442

The calculation puts the formation energy at -0.66 eV per atom. The relative energy among the computed polymorphs is 0 meV per atom.

---

No. 3
The following is a PBE calculation of a relaxed Tb3Sm2Te8 crystal, from the Alexandria database.

Cell: 7.566 8.779 8.894 Å, 119.57 106.15 90.00°
Sites, in units of the cell vectors:
Tb: 0.500 0.000 0.000
Tb: 0.000 0.258 0.000
Tb: 0.000 0.742 0.000
Sm: 0.331 0.251 0.502
Sm: 0.669 0.749 0.498
Te: 0.906 0.618 0.237
Te: 0.094 0.382 0.763
Te: 0.915 0.120 0.239
Te: 0.085 0.880 0.761
Te: 0.588 0.632 0.760
Te: 0.588 0.127 0.760
Te: 0.412 0.873 0.240
Te: 0.412 0.368 0.240

Its formation energy (no corrections) is -1.277 eV per atom.

---

No. 4
The following is a PBE calculation of a relaxed Ca2NdIn9 crystal, from the Alexandria database.

Cell: 4.719 4.719 14.170 Å, 90.00 90.00 90.00°
Sites, in units of the cell vectors:
Ca: 0.000 0.000 0.334
Ca: 0.000 0.000 0.666
Nd: 0.000 0.000 0.000
In: 0.500 0.500 0.000
In: 0.500 0.500 0.333
In: 0.500 0.500 0.667
In: 0.500 0.000 0.169
In: 0.500 0.000 0.500
In: 0.500 0.000 0.831
In: 0.000 0.500 0.169
In: 0.000 0.500 0.500
In: 0.000 0.500 0.831

The calculation puts the formation energy at -0.37 eV per atom.

---

No. 5
The following is a PBE calculation of a relaxed PmSnPdAu crystal, from the Alexandria database.

Cell: 4.957 4.957 4.957 Å, 60.00 60.00 60.00°
Sites, in units of the cell vectors:
Au: 0.500 0.500 0.500
Sn: 0.250 0.250 0.250
Pd: 0.000 0.000 0.000
Pm: 0.750 0.750 0.750

The calculation puts the formation energy at -0.73 eV per atom.

---

No. 6
The following is a PBE calculation of a relaxed HAuO crystal, from the Alexandria database.

Cell: 2.838 4.936 4.077 Å, 84.26 69.63 73.29°
Sites, in units of the cell vectors:
H: 0.296 0.409 0.000
Au: 0.675 0.650 0.000
O: 0.029 0.941 0.000

The relative energy among the computed polymorphs is 660 meV per atom.

---

No. 7
The following is a PBE calculation of a relaxed SrSeBr2 crystal, from the Alexandria database.

Cell: 4.150 5.957 7.496 Å, 37.19 90.00 90.00°
Sites, in units of the cell vectors:
Br: 0.000 0.000 0.000
Br: 0.500 0.500 0.000
Se: 0.500 0.500 0.500
Sr: 0.000 0.000 0.500

The relative energy among the computed polymorphs is 240 meV per atom. Its formation energy (no corrections) is -1.078 eV per atom.

---

No. 8
The following is a PBE calculation of a relaxed Ta3Br crystal, from the Alexandria database.

Cell: 5.712 5.712 5.712 Å, 149.62 124.75 64.36°
Sites, in units of the cell vectors:
Br: 0.030 0.000 0.030
Ta: 0.447 0.500 0.947
Ta: 0.903 0.224 0.678
Ta: 0.454 0.776 0.678

The relative energy among the computed polymorphs is 286 meV per atom. Its formation energy (no corrections) is 0.638 eV per atom.

---

No. 9
The following is a PBE calculation of a relaxed CrCdPb2 crystal, from the Alexandria database.

Cell: 5.491 5.491 5.491 Å, 127.54 127.54 77.37°
Sites, in units of the cell vectors:
Cd: 0.250 0.750 0.500
Cr: 0.750 0.250 0.500
Pb: 0.000 0.000 0.000
Pb: 0.500 0.500 0.000

The calculation puts the formation energy at 0.37 eV per atom.

---

No. 10
The following is a PBE calculation of a relaxed Ho5PaBi6 crystal, from the Alexandria database.

Cell: 7.728 7.728 7.723 Å, 99.59 99.59 120.02°
Sites, in units of the cell vectors:
Pa: 0.000 0.000 0.000
Ho: 0.833 0.167 0.500
Ho: 0.667 0.333 0.000
Ho: 0.500 0.500 0.500
Ho: 0.333 0.667 0.000
Ho: 0.167 0.833 0.500
Bi: 0.416 0.083 0.251
Bi: 0.917 0.584 0.749
Bi: 0.250 0.250 0.751
Bi: 0.750 0.750 0.249
Bi: 0.083 0.416 0.251
Bi: 0.584 0.917 0.749

The calculation puts the formation energy at -0.70 eV per atom.

---

No. 11
The following is a PBE calculation of a relaxed RbBrCl crystal, from the Alexandria database.

Cell: 8.951 9.129 7.296 Å, 105.81 90.00 90.00°
Sites, in units of the cell vectors:
Rb: 0.510 0.265 0.599
Rb: 0.010 0.235 0.401
Rb: 0.490 0.735 0.401
Rb: 0.990 0.765 0.599
Br: 0.914 0.496 0.129
Br: 0.586 0.996 0.129
Br: 0.086 0.504 0.871
Br: 0.414 0.004 0.871
Cl: 0.240 0.007 0.540
Cl: 0.260 0.507 0.540
Cl: 0.760 0.993 0.460
Cl: 0.740 0.493 0.460

The relative energy among the computed polymorphs is 44 meV per atom. Its formation energy (no corrections) is -1.268 eV per atom.

---

No. 12
The following is a PBE calculation of a relaxed CaPr2Tm3Bi6 crystal, from the Alexandria database.

Cell: 4.532 9.088 10.160 Å, 103.25 102.89 90.00°
Sites, in units of the cell vectors:
Ca: 0.500 0.000 0.000
Pr: 0.835 0.670 0.670
Pr: 0.165 0.330 0.330
Tm: 0.500 0.500 0.000
Tm: 0.833 0.167 0.666
Tm: 0.167 0.833 0.334
Bi: 0.331 0.926 0.662
Bi: 0.664 0.590 0.328
Bi: 0.669 0.074 0.338
Bi: 0.996 0.257 0.992
Bi: 0.004 0.743 0.008
Bi: 0.336 0.410 0.672

The calculation puts the formation energy at -0.82 eV per atom.

---

Respective magnetic moment values: 0.000; 0.000; 0.000; 0.000; 0.000; 0.001; 0.000; 0.000; 4.381; 0.721; 0.000; 0.000 μB/f.u..